[1]
Crystalline MnTlZn2 at its relaxed geometry, computed with PBE-GGA.

Cell and atoms, written as POSCAR:
```
MnTlZn2
1.0
3.0547 0.0000 0.0000
0.0000 3.0547 0.0000
0.0000 0.0000 7.7584
Mn Tl Zn
1 1 2
Direct
0.0000 0.0000 0.0000 Mn
0.5000 0.5000 0.2854 Tl
0.0000 0.0000 0.5910 Zn
0.5000 0.5000 0.7999 Zn
```

Computed properties:
Total energy ... -3.25 eV/atom
ΔH_f (0 K) ... 0.268 eV per atom
SG ... P4mm, No. 99
Relative energy among the computed polymorphs ... 59.1 meV per atom



[2]
Crystalline MgAl2As at its relaxed geometry, computed with PBE-GGA.

Cell and atoms, written as POSCAR:
```
MgAl2As
1.0
0.0000 3.3615 3.3615
3.3615 0.0000 3.3615
3.3615 3.3615 0.0000
Mg Al As
1 2 1
Direct
0.0000 0.0000 0.0000 Mg
0.2500 0.2500 0.2500 Al
0.7500 0.7500 0.7500 Al
0.5000 0.5000 0.5000 As
```

Computed properties:
Total energy ... -3.25 eV/atom
ΔH_f (0 K) ... 0.183 eV per atom
SG ... Fm-3m, No. 225
Relative energy among the computed polymorphs ... 252.0 meV per atom



| no. | DOS(E_F) (states/eV per cell) | magnetic moment (Bohr magnetons per cell) |
| --- | --- | --- |
| 1 | 2.851 | 3.659 |
| 2 | 2.278 | 0.000 |